Entry from the Alexandria database: an optimized crystal structure of HfUNbC3 (GGA-PBE).

Structure (CIF):
```
data_HfUNbC3
_chemical_formula_sum 'Hf2 U2 Nb2 C6'
_cell_length_a 5.664
_cell_length_b 3.292
_cell_length_c 8.627
_cell_angle_alpha 90.00
_cell_angle_beta 102.50
_cell_angle_gamma 90.00
_space_group_name_H-M_alt 'P 1 21/m 1'
_space_group_IT_number 11
loop_
_space_group_symop_operation_xyz
'x,y,z'
'-x,-y,-z'
'-x,y+1/2,-z'
'x,-y+1/2,z'
loop_
_atom_site_label
_atom_site_fract_x
_atom_site_fract_y
_atom_site_fract_z
Hf1 0.229 0.250 0.448
U1 0.352 0.750 0.806
Nb1 0.131 0.750 0.134
C1 0.052 0.250 0.664
C2 0.262 0.250 0.006
C3 0.447 0.750 0.329
```

The electronic total energy comes out at -10.3250 eV/atom. As for the energy of formation: -495 meV/atom. For the density of states at the Fermi level, the calculation gives 7.6 states/eV per cell. The calculation puts the magnetic moment at 0.0 μB per cell.

***

Entry from the Alexandria database: an optimized crystal structure of Hf2UNbC4 (GGA-PBE).

Structure (CIF):
```
data_Hf2UNbC4
_chemical_formula_sum 'Hf2 U1 Nb1 C4'
_cell_length_a 5.732
_cell_length_b 3.300
_cell_length_c 5.767
_cell_angle_alpha 90.00
_cell_angle_beta 109.00
_cell_angle_gamma 90.00
_space_group_name_H-M_alt 'P 1 2/m 1'
_space_group_IT_number 10
loop_
_space_group_symop_operation_xyz
'x,y,z'
'-x,-y,-z'
'-x,y,-z'
'x,-y,z'
loop_
_atom_site_label
_atom_site_fract_x
_atom_site_fract_y
_atom_site_fract_z
Hf1 0.000 0.000 0.000
Hf2 0.000 0.500 0.500
U1 0.500 0.000 0.500
Nb1 0.500 0.500 0.000
C1 0.248 0.500 0.242
C2 0.256 0.000 0.753
```

The electronic total energy comes out at -10.4142 eV/atom. As for the energy of formation: -644 meV/atom. For the density of states at the Fermi level, the calculation gives 4.6 states/eV per cell. The calculation puts the magnetic moment at 0.0 μB per cell.

***

Entry from the Alexandria database: an optimized crystal structure of HfUNb2C4 (GGA-PBE).

Structure (CIF):
```
data_HfUNb2C4
_chemical_formula_sum 'Hf1 U1 Nb2 C4'
_cell_length_a 5.689
_cell_length_b 3.266
_cell_length_c 5.720
_cell_angle_alpha 90.00
_cell_angle_beta 109.16
_cell_angle_gamma 90.00
_space_group_name_H-M_alt 'P 1 2/m 1'
_space_group_IT_number 10
loop_
_space_group_symop_operation_xyz
'x,y,z'
'-x,-y,-z'
'-x,y,-z'
'x,-y,z'
loop_
_atom_site_label
_atom_site_fract_x
_atom_site_fract_y
_atom_site_fract_z
Hf1 0.000 0.000 0.000
U1 0.500 0.500 0.000
Nb1 0.000 0.500 0.500
Nb2 0.500 0.000 0.500
C1 0.243 0.000 0.739
C2 0.253 0.500 0.255
```

The electronic total energy comes out at -10.3689 eV/atom. As for the energy of formation: -584 meV/atom. For the density of states at the Fermi level, the calculation gives 3.7 states/eV per cell. The calculation puts the magnetic moment at 0.0 μB per cell. The relative energy among the computed polymorphs comes out at 0.0000 eV/atom.

***

Entry from the Alexandria database: an optimized crystal structure of HfNb2VC (GGA-PBE).

Structure (CIF):
```
data_HfNb2VC
_chemical_formula_sum 'Hf1 Nb2 V1 C1'
_cell_length_a 4.304
_cell_length_b 4.304
_cell_length_c 4.457
_cell_angle_alpha 90.00
_cell_angle_beta 90.00
_cell_angle_gamma 90.00
_space_group_name_H-M_alt 'P 4/m m m'
_space_group_IT_number 123
_space_group_name_Hall '-P 4 2'
loop_
_atom_site_label
_atom_site_fract_x
_atom_site_fract_y
_atom_site_fract_z
Hf1 0.000 0.000 0.000
Nb1 0.000 0.500 0.500
V1 0.500 0.500 0.000
C1 0.000 0.000 0.500
```

The electronic total energy comes out at -9.7163 eV/atom. As for the energy of formation: -29 meV/atom. For the density of states at the Fermi level, the calculation gives 4.5 states/eV per cell. The calculation puts the magnetic moment at 0.0 μB per cell.

***

Entry from the Alexandria database: an optimized crystal structure of Hf2NbVC4 (GGA-PBE).

Structure (CIF):
```
data_Hf2NbVC4
_chemical_formula_sum 'Hf8 Nb4 V4 C16'
_cell_length_a 3.175
_cell_length_b 11.339
_cell_length_c 10.784
_cell_angle_alpha 90.00
_cell_angle_beta 90.00
_cell_angle_gamma 90.00
_space_group_name_H-M_alt 'C m c m'
_space_group_IT_number 63
_space_group_name_Hall '-C 2c 2'
loop_
_atom_site_label
_atom_site_fract_x
_atom_site_fract_y
_atom_site_fract_z
Hf1 0.000 0.135 0.024
Nb1 0.000 0.327 0.250
V1 0.000 0.413 0.750
C1 0.000 0.018 0.750
C2 0.000 0.265 0.632
C3 0.000 0.500 0.000
```

The electronic total energy comes out at -9.7930 eV/atom. As for the energy of formation: -294 meV/atom. For the density of states at the Fermi level, the calculation gives 8.6 states/eV per cell. The calculation puts the magnetic moment at 0.0 μB per cell.

***

Entry from the Alexandria database: an optimized crystal structure of HfZr2NbC4 (GGA-PBE).

Structure (CIF):
```
data_HfZr2NbC4
_chemical_formula_sum 'Hf1 Zr2 Nb1 C4'
_cell_length_a 5.683
_cell_length_b 3.290
_cell_length_c 5.687
_cell_angle_alpha 90.00
_cell_angle_beta 109.38
_cell_angle_gamma 90.00
_space_group_name_H-M_alt 'P 1 2/m 1'
_space_group_IT_number 10
loop_
_space_group_symop_operation_xyz
'x,y,z'
'-x,-y,-z'
'-x,y,-z'
'x,-y,z'
loop_
_atom_site_label
_atom_site_fract_x
_atom_site_fract_y
_atom_site_fract_z
Hf1 0.000 0.000 0.000
Zr1 0.000 0.500 0.500
Zr2 0.500 0.000 0.500
Nb1 0.500 0.500 0.000
C1 0.251 0.500 0.243
C2 0.256 0.000 0.759
```

The electronic total energy comes out at -10.0323 eV/atom. As for the energy of formation: -780 meV/atom. For the density of states at the Fermi level, the calculation gives 1.0 states/eV per cell. The calculation puts the magnetic moment at 0.0 μB per cell.